# SmErV2O8 PBE with a Hubbard U optimized geometry
# calculated density: 5.4 Mg/m³
# total moment: 0.0 μB/cell
# calculated total energy: -8.05 eV/atom
data_SmErV2O8
_chemical_formula_sum 'Sm2 Er2 V4 O16'
_cell_length_a 7.258
_cell_length_b 7.258
_cell_length_c 6.379
_cell_angle_alpha 90.00
_cell_angle_beta 90.00
_cell_angle_gamma 90.00
_symmetry_space_group_name_H-M 'I -4 m 2'
_symmetry_Int_Tables_number 119
_symmetry_space_group_name_Hall 'I -4 -2'
loop_
_atom_site_label
_atom_site_fract_x
_atom_site_fract_y
_atom_site_fract_z
Sm1 0.000 0.000 0.000
Er1 0.000 0.500 0.750
V1 0.000 0.000 0.500
V2 0.000 0.500 0.250
O1 0.000 0.187 0.672
O2 0.000 0.319 0.072